[1]
Material: CdSiNi2
Method: DFT, PBE
State: optimized geometry

M_tot, μB/cell: 0.002
V, Å³ per atom: 13.43
Mass density, g/cm³: 7.97
Energy, Ha/atom: -0.15454

abc: 4.2354 4.2354 4.2354
angles: 60.00 60.00 60.00
With the nearest neighbours (Å) after each atom.
Positions (direct):
Ni1 0.7500 0.7500 0.7500  4 Si 2.59, 4 Ni 2.59
Ni2 0.0000 0.0000 0.0000  4 Cd 2.59, 4 Ni 2.59
Si1 0.5000 0.5000 0.5000  4 Ni 2.59, 4 Cd 2.59
Cd1 0.2500 0.2500 0.2500  4 Ni 2.59, 4 Si 2.59

[2]
Material: TaCdSiNi
Method: DFT, PBE
State: optimized geometry

M_tot, μB/cell: 0.001
V, Å³ per atom: 15.48
Mass density, g/cm³: 10.19
Energy, Ha/atom: -0.20772

abc: 4.4407 4.4407 4.4407
angles: 60.00 60.00 60.00
With the nearest neighbours (Å) after each atom.
Positions (direct):
Cd1 0.5000 0.5000 0.5000  4 Ni 2.72, 4 Ta 2.72
Ni1 0.7500 0.7500 0.7500  4 Cd 2.72, 4 Si 2.72
Si1 0.0000 0.0000 0.0000  4 Ni 2.72, 4 Ta 2.72
Ta1 0.2500 0.2500 0.2500  4 Cd 2.72, 4 Si 2.72